(1)
A plane-wave DFT calculation with GGA-PBE was carried out for an optimized crystal structure of Dy5AlTl3.

abc: 9.2500 9.2500 6.6201
angles: 90.00 90.00 120.00
Space group P6_3/mcm (No. 193)
One atom of each set of equivalent atoms:
Dy (0.0000, 0.2760, 0.2500) x6
Dy (0.3333, 0.6667, 0.0000) x4
Al (0.0000, 0.0000, 0.0000) x2
Tl (0.0000, 0.3777, 0.7500) x6

Computed properties:
The total magnetization is 0.00 μB/atom. The value obtained for the formation energy is -0.341 eV per atom.

(2)
A plane-wave DFT calculation with GGA-PBE was carried out for an optimized crystal structure of Dy4AlTl.

abc: 13.960 3.510 7.069
angles: 90.00 104.65 90.00
Space group C2/m (No. 12)
One atom of each set of equivalent atoms:
Dy (0.152, 0.000, 0.333) x4
Dy (0.154, 0.000, 0.820) x4
Al (0.000, 0.500, 0.500) x2
Tl (0.000, 0.500, 0.000) x2

Computed properties:
The total magnetization is 0.00 μB/atom. The value obtained for the energy relative to the lowest polymorph listed for this composition is 0 meV per atom. The value obtained for the formation energy is -0.225 eV per atom.

(3)
A plane-wave DFT calculation with GGA-PBE was carried out for an optimized crystal structure of Dy4Al2Tl.

abc: 5.1379 5.1379 25.0345
angles: 90.00 90.00 120.00
Space group R-3m (No. 166, hexagonal axes)
One atom of each set of equivalent atoms:
Dy (0.0000, 0.0000, 0.1160) x6
Dy (0.0000, 0.0000, 0.3695) x6
Al (0.0000, 0.0000, 0.2493) x6
Tl (0.0000, 0.0000, 0.5000) x3

Computed properties:
The total magnetization is 0.00 μB/atom. The value obtained for the energy relative to the lowest polymorph listed for this composition is 0 meV per atom. The value obtained for the formation energy is -0.214 eV per atom.

(4)
A plane-wave DFT calculation with GGA-PBE was carried out for an optimized crystal structure of Dy2AlTl.

abc: 3.629 3.629 7.734
angles: 90.00 90.00 90.00
Space group P4/mmm (No. 123)
One atom of each set of equivalent atoms:
Dy (0.000, 0.000, 0.235) x2
Al (0.500, 0.500, 0.000) x1
Tl (0.500, 0.500, 0.500) x1

Computed properties:
The total magnetization is 0.00 μB/atom. The value obtained for the formation energy is -0.361 eV per atom.

(5)
A plane-wave DFT calculation with GGA-PBE was carried out for an optimized crystal structure of Dy12AlTl3.

abc: 4.822 4.822 19.321
angles: 90.00 90.00 90.00
Space group P4/mmm (No. 123)
One atom of each set of equivalent atoms:
Dy (0.000, 0.000, 0.000) x1
Dy (0.000, 0.000, 0.247) x2
Dy (0.000, 0.000, 0.500) x1
Dy (0.000, 0.500, 0.120) x4
Dy (0.000, 0.500, 0.374) x4
Al (0.500, 0.500, 0.000) x1
Tl (0.500, 0.500, 0.248) x2
Tl (0.500, 0.500, 0.500) x1

Computed properties:
The total magnetization is 0.10 μB/atom. The value obtained for the formation energy is -0.182 eV per atom.

(6)
A plane-wave DFT calculation with GGA-PBE was carried out for an optimized crystal structure of DyAlTl.

abc: 3.471 3.471 12.146
angles: 90.00 90.00 90.00
Space group I4mm (No. 107)
One atom of each set of equivalent atoms:
Dy (0.000, 0.000, 0.000) x2
Al (0.000, 0.000, 0.657) x2
Tl (0.000, 0.000, 0.308) x2

Computed properties:
The total magnetization is 0.00 μB/atom. The value obtained for the energy relative to the lowest polymorph listed for this composition is 140 meV per atom. The value obtained for the formation energy is -0.130 eV per atom.

(7)
A plane-wave DFT calculation with GGA-PBE was carried out for an optimized crystal structure of DyAlTl2.

abc: 4.7187 4.7187 15.9582
angles: 90.00 90.00 120.00
Space group R-3m (No. 166, hexagonal axes)
One atom of each set of equivalent atoms:
Dy (0.0000, 0.0000, 0.0000) x3
Al (0.0000, 0.0000, 0.5000) x3
Tl (0.0000, 0.0000, 0.2369) x6

Computed properties:
The total magnetization is 0.00 μB/atom. The value obtained for the energy relative to the lowest polymorph listed for this composition is 153 meV per atom. The value obtained for the formation energy is -0.047 eV per atom.

(8)
A plane-wave DFT calculation with GGA-PBE was carried out for an optimized crystal structure of Dy6AlTl5.

abc: 5.352 7.447 8.455
angles: 90.00 108.28 90.00
Space group P2/m (No. 10)
One atom of each set of equivalent atoms:
Dy (0.000, 0.244, 0.000) x2
Dy (0.337, 0.247, 0.674) x4
Al (0.500, 0.000, 0.000) x1
Tl (0.168, 0.500, 0.336) x2
Tl (0.169, 0.000, 0.337) x2
Tl (0.500, 0.500, 0.000) x1

Computed properties:
The total magnetization is 0.00 μB/atom. The value obtained for the formation energy is -0.337 eV per atom.